# 1
ZrMnBr2 | the Alexandria database | GGA-PBE | optimized geometry; DFT total energy = -5.799 eV per atom
1.0
-1.744 -0.222 -2.955
2.649 -1.909 -1.420
-2.444 -8.072 2.049
Br Mn Zr
2 1 1
direct
0.000 0.852 0.938
0.500 0.126 0.358
0.000 0.553 0.513
0.500 0.968 0.691

---

# 2
Zr2MnBr | the Alexandria database | GGA-PBE | optimized geometry; DFT total energy = -6.407 eV per atom
1.0
4.904 0.000 0.000
2.452 4.247 0.000
2.452 1.416 4.004
Br Mn Zr
1 1 2
direct
0.500 0.500 0.500
0.750 0.750 0.750
0.000 0.000 0.000
0.250 0.250 0.250

---

# 3
ZrMnBr2 | the Alexandria database | GGA-PBE | optimized geometry; DFT total energy = -5.260 eV per atom
1.0
-1.362 -2.862 0.884
5.386 -2.539 0.079
0.466 1.125 4.362
Br Mn Zr
2 1 1
direct
0.000 0.000 0.000
0.500 0.500 0.000
0.500 0.000 0.500
0.000 0.500 0.500

---

# 4
Zr2MnBr | the Alexandria database | GGA-PBE | optimized geometry; DFT total energy = -6.972 eV per atom
1.0
-3.328 3.453 -2.552
-1.271 2.333 -4.738
-2.663 -3.716 -0.601
Br Mn Zr
1 1 2
direct
0.467 0.467 0.592
0.277 0.277 0.153
0.019 0.019 0.096
0.737 0.737 0.659

---

Number 1: offset from the most stable computed form 0.024 eV/atom, formation energy without anion corrections -2.134 eV per formula unit. Number 2: offset from the most stable computed form 0.892 eV/atom, formation energy without anion corrections 2.310 eV per formula unit. Number 3: offset from the most stable computed form 0.564 eV/atom, formation energy without anion corrections 0.025 eV per formula unit. Number 4: offset from the most stable computed form 0.327 eV/atom, formation energy without anion corrections 0.049 eV per formula unit.